Material: BeInCoNF
Method: DFT, PBE+U
State: relaxed

Geometry as POSCAR:
```
BeInCoNF
1.0
7.3645 -1.3672 0.0000
7.3645 1.3672 0.0000
-0.8474 0.0000 3.8989
Be In Co N F
1 1 1 1 1
Direct
0.0000 0.0000 0.0000
0.7375 0.7375 0.7392
0.1531 0.1531 0.1736
0.5641 0.5641 0.0836
0.8981 0.8981 0.8592
```

Properties
As for the density of states at the Fermi level: 1.1 states/eV per cell. The value obtained for the relative energy among the computed polymorphs is 131 meV/atom.